# Tb5Sm12Dy2

A geometry-optimized Tb5Sm12Dy2 structure (PBE-GGA, Alexandria).

extended XYZ file:
```
19
Lattice="-9.8722 2.8160 -1.0556 3.9068 -2.1256 8.2402 2.0346 7.5972 1.2389" Properties=species:S:1:pos:R:3 pbc="T T T"
Tb -4.4695 4.7455 4.0120
Tb 0.5386 3.5421 4.4116
Tb -0.5461 0.1461 5.4972
Tb -3.3848 8.1414 2.9264
Tb 1.0173 3.7986 0.6195
Sm 0.5199 4.7437 7.7921
Sm -1.6794 5.2641 2.1000
Sm -6.1409 6.5367 1.6230
Sm 3.6302 4.8411 6.0271
Sm -4.4508 3.5438 0.6315
Sm -1.6658 6.3518 5.4608
Sm -2.2515 3.0235 6.3235
Sm -2.2651 1.9358 2.9627
Sm 1.4943 6.5006 3.3669
Sm -5.4251 1.7869 5.0566
Sm 2.2100 1.7509 6.8005
Sm -7.5610 3.4464 2.3964
Dy -7.4205 2.1166 -0.7934
Dy -2.4517 0.6993 -0.2622
```

Its formation energy is 0.13 eV/atom. The calculation puts the volume at 642 Å³/cell. As for the energy: -86.50 eV for the cell shown.